Entry from Alexandria via LeMat-Bulk: K2NiAuO4 after structural relaxation (PBE+U).

The structure in CIF format:
```
data_K2NiAuO4
_cell_length_a 6.636
_cell_length_b 6.636
_cell_length_c 5.993
_cell_angle_alpha 90.00
_cell_angle_beta 90.00
_cell_angle_gamma 90.00
_symmetry_space_group_name_H-M 'I -4 2 m'
_symmetry_Int_Tables_number 121
_symmetry_space_group_name_Hall 'I -4 2'
loop_
_atom_site_label
_atom_site_type_symbol
_atom_site_fract_x
_atom_site_fract_y
_atom_site_fract_z
K1 K 0.000 0.500 0.000
Ni1 Ni 0.000 0.000 0.000
Au1 Au 0.000 0.000 0.500
O1 O 0.144 0.144 0.782
```

Output
Total energy = -4.049 eV per atom
Fermi-level density of states = 6.2 states/eV/f.u.